Ho6Bi2Te3Pb | the Alexandria database | PBE | optimized geometry; E_tot = -5.049 eV/atom; DOS(E_F) = 4.2 states/eV/cell; uncorrected formation energy = -1179.9 kJ/mol of formula units; magnetization = 0.0 μB per formula unit
1.0
9.587 -2.208 0.000
9.587 2.208 0.000
-1.954 0.000 8.566
Ho Bi Te Pb
6 2 3 1
Cartesian
18.701 0.000 2.067
-1.481 0.000 6.499
5.573 0.000 3.583
4.677 0.000 7.860
12.544 0.000 0.706
11.648 0.000 4.982
2.549 0.000 2.860
14.672 0.000 5.706
1.603 0.000 7.140
8.610 0.000 4.283
15.618 0.000 1.426
9.587 0.000 0.000



Ho12BiPd6 | the Alexandria database | PBE | optimized geometry; E_tot = -5.389 eV/atom; DOS(E_F) = 18.7 states/eV/cell; formation energy from the elements = -0.653 eV/atom; magnetization = 0.0 μB per formula unit
1.0
-4.983 4.983 4.983
4.983 -4.983 4.983
4.983 4.983 -4.983
Ho Bi Pd
12 1 6
Cartesian
4.983 -1.994 3.135
2.988 1.848 0.000
6.977 1.848 0.000
3.135 4.983 -1.994
1.848 0.000 2.988
0.000 2.988 1.848
4.983 1.994 3.135
3.135 4.983 1.994
1.848 0.000 6.977
-1.994 3.135 4.983
1.994 3.135 4.983
0.000 6.977 1.848
0.000 0.000 0.000
4.983 0.000 1.359
4.983 3.623 0.000
1.359 4.983 0.000
3.623 0.000 4.983
0.000 1.359 4.983
0.000 4.983 3.623



HoBi2Pd | the Alexandria database | PBE | optimized geometry; E_tot = -4.860 eV/atom; DOS(E_F) = 1.5 states/eV/cell; formation energy from the elements = -0.477 eV/atom; magnetization = 0.0 μB per formula unit
1.0
4.873 0.000 0.000
0.000 4.873 0.000
0.000 0.000 4.172
Ho Bi Pd
1 2 1
Cartesian
0.000 0.000 0.000
0.000 2.437 2.086
2.437 0.000 2.086
2.437 2.437 0.000